Run i
A plane-wave DFT calculation with PBE was carried out for an optimized crystal structure of BaZn2W.

ρ (Mg/m³): 7.89
Space-group type: Immm

abc: 6.198 6.198 6.198
angles: 150.37 125.38 63.37
Fractional coordinates of all 4 atoms:
Zn: 0.452 0.452 0.000
Zn: 0.048 0.048 0.000
W: 0.250 0.750 0.500
Ba: 0.750 0.250 0.500

Run ii
A plane-wave DFT calculation with PBE was carried out for an optimized crystal structure of BaZn2W.

ρ (Mg/m³): 8.50
Space-group type: I-4m2

abc: 5.712 5.712 5.712
angles: 136.13 136.13 63.79
Fractional coordinates of all 4 atoms:
W: 0.750 0.250 0.500
Zn: 0.000 0.000 0.000
Zn: 0.250 0.750 0.500
Ba: 0.500 0.500 0.000

Run iii
A plane-wave DFT calculation with PBE was carried out for an optimized crystal structure of BaZn2W.

ρ (Mg/m³): 9.21
Space-group type: P4/mmm

abc: 3.048 3.048 8.770
angles: 90.00 90.00 89.99
Fractional coordinates of all 4 atoms:
Zn: 0.000 0.000 0.948
Zn: 0.000 0.000 0.552
W: 0.500 0.500 0.750
Ba: 0.500 0.500 0.250

Run iv
A plane-wave DFT calculation with PBE was carried out for an optimized crystal structure of BaZn2W.

ρ (Mg/m³): 9.11
Space-group type: P4/mmm

abc: 5.291 5.291 2.943
angles: 90.00 90.00 90.00
Fractional coordinates of all 4 atoms:
W: 0.000 0.500 0.500
Ba: 0.500 0.000 0.500
Zn: 0.500 0.500 0.000
Zn: 0.000 0.000 0.000

The structure with the most favorable energy is run iii; the runner-up is 25.8 kJ/mol of atoms above it.

Run i
A plane-wave DFT calculation with PBE was carried out for an optimized crystal structure of BaZn3W.

ρ (Mg/m³): 6.71
Space-group type: Pm-3m

abc: 5.041 5.041 5.041
angles: 90.00 90.00 90.00
Fractional coordinates of all 5 atoms:
W: 0.000 0.000 0.000
Zn: 0.500 0.000 0.000
Zn: 0.000 0.500 0.000
Zn: 0.000 0.000 0.500
Ba: 0.500 0.500 0.500

Run ii
A plane-wave DFT calculation with PBE was carried out for an optimized crystal structure of BaZn3W.

ρ (Mg/m³): 4.21
Space-group type: Pm-3m

abc: 5.889 5.889 5.889
angles: 90.00 90.00 90.00
Each line ends with the local moment (μB).
Fractional coordinates of all 5 atoms:
Zn: 0.500 0.000 0.000  0.03
Zn: 0.000 0.500 0.000  0.01
Zn: 0.000 0.000 0.500  -0.01
W: 0.500 0.500 0.500  -3.45
Ba: 0.000 0.000 0.000  0.08

The structure with the most favorable energy is run i; the runner-up is 156.8 kJ/mol of atoms above it.

Run i
A plane-wave DFT calculation with PBE was carried out for an optimized crystal structure of Ba2ZrW.

ρ (Mg/m³): 6.57
Space-group type: P4mm

abc: 3.757 3.757 9.843
angles: 90.00 90.00 90.00
Fractional coordinates of all 4 atoms:
W: 0.000 0.000 0.570
Ba: 0.500 0.500 0.328
Ba: 0.000 0.000 0.929
Zr: 0.500 0.500 0.673

Run ii
A plane-wave DFT calculation with PBE was carried out for an optimized crystal structure of Ba2ZrW.

ρ (Mg/m³): 8.01
Space-group type: I4/mmm

abc: 6.514 6.514 6.514
angles: 139.82 139.82 58.12
Fractional coordinates of all 4 atoms:
W: 0.250 0.750 0.500
Ba: 0.500 0.500 0.000
Ba: 0.000 0.000 0.000
Zr: 0.750 0.250 0.500

Run iii
A plane-wave DFT calculation with PBE was carried out for an optimized crystal structure of Ba2ZrW.

ρ (Mg/m³): 7.91
Space-group type: R-3m

abc: 12.503 12.503 12.503
angles: 15.09 15.09 15.09
Each line ends with the local moment (μB).
Fractional coordinates of all 4 atoms:
Zr: 0.750 0.750 0.750  0.23
Ba: 0.508 0.508 0.508  0.01
Ba: 0.992 0.992 0.992  0.01
W: 0.250 0.250 0.250  0.02

Run iv
A plane-wave DFT calculation with PBE was carried out for an optimized crystal structure of Ba2ZrW.

ρ (Mg/m³): 7.95
Space-group type: I-4m2

abc: 5.450 5.450 5.450
angles: 119.85 119.85 90.27
Fractional coordinates of all 4 atoms:
W: 0.500 0.500 0.000
Zr: 0.750 0.250 0.500
Ba: 0.250 0.750 0.500
Ba: 0.000 0.000 0.000

The structure with the most favorable energy is run i; the runner-up is 56.4 kJ/mol of atoms above it.

Run i
A plane-wave DFT calculation with PBE was carried out for an optimized crystal structure of Ba2ZrW.

ρ (Mg/m³): 6.36
Space-group type: Pm

abc: 4.659 3.354 9.196
angles: 87.09 90.00 90.00
Fractional coordinates of all 4 atoms:
Zr: 0.500 0.751 0.661
Ba: 0.000 0.011 0.924
Ba: 0.500 0.246 0.327
W: 0.000 0.492 0.588

Run ii
A plane-wave DFT calculation with PBE was carried out for an optimized crystal structure of Ba2ZrW.

ρ (Mg/m³): 6.18
Space-group type: Cm

abc: 4.885 4.885 9.280
angles: 86.90 86.90 41.92
Fractional coordinates of all 4 atoms:
Zr: 0.764 0.764 0.658
Ba: 0.006 0.006 0.920
Ba: 0.235 0.235 0.333
W: 0.494 0.494 0.589

Run iii
A plane-wave DFT calculation with PBE was carried out for an optimized crystal structure of Ba2ZrW.

ρ (Mg/m³): 4.75
Space-group type: I-42d

abc: 12.421 12.421 9.129
angles: 47.14 47.14 90.00
Fractional coordinates of all 8 atoms:
Ba: 0.808 0.125 0.250
Ba: 0.942 0.625 0.250
Ba: 0.375 0.192 0.750
Ba: 0.875 0.058 0.750
Zr: 0.500 0.500 0.000
Zr: 0.250 0.750 0.500
W: 0.750 0.250 0.500
W: 0.000 0.000 0.000

Run iv
A plane-wave DFT calculation with PBE was carried out for an optimized crystal structure of Ba2ZrW.

ρ (Mg/m³): 8.02
Space-group type: P2/m

abc: 5.737 3.145 7.039
angles: 63.68 90.00 90.00
Fractional coordinates of all 4 atoms:
Zr: 0.500 0.750 0.750
Ba: 0.000 0.999 0.004
Ba: 0.000 0.501 0.496
W: 0.500 0.250 0.250

The structure with the most favorable energy is run ii; the runner-up is 2.4 kJ/mol of atoms above it.